AcTb2Er3 after structural relaxation, computed with GGA-PBE.

Results
The relative energy among the computed polymorphs comes out at 0.000 eV per atom.

abc: 9.1080 9.9135 9.0180
angles: 90.00 102.03 90.00
Last column: nearest neighbours and their distance in Å.
Space group C2/c (No. 15)
Symmetry-distinct sites (fractional):
1 Ac 0.0000 0.0790 0.2500 (multiplicity 4)  5 Er 3.39-3.59, 6 Tb 3.74-3.77
2 Tb 0.1239 0.2552 0.6264 (multiplicity 8)  2 Tb 3.49-3.56, 9 Er 3.59-3.88, 3 Ac 3.74-3.77
3 Er 0.0000 0.4210 0.2500 (multiplicity 4)  4 Er 3.21-3.46, 1 Ac 3.39
4 Er 0.2364 0.4115 0.9956 (multiplicity 8)  3 Er 3.21-3.46, 2 Ac 3.39-3.59, 1 Tb 3.59